[1]
Computed, not measured: a relaxed CdBiW4N2 crystal at the PBE level of DFT.

For the total DFT energy (no corrections), the calculation gives -69.332 eV/cell. Its space group is P-6m2 (187).

a = 2.942 Å, b = 2.942 Å, c = 16.083 Å
α = 90.00°, β = 90.00°, γ = 120.00°
Positions (direct):
Cd (0.000, 0.000, 0.000)
Bi (0.333, 0.667, 0.500)
W (0.000, 0.000, 0.324)
W (0.000, 0.000, 0.676)
W (0.333, 0.667, 0.155)
W (0.333, 0.667, 0.845)
N (0.667, 0.333, 0.240)
N (0.667, 0.333, 0.760)

***

[2]
Computed, not measured: a relaxed Y4CdBiN2 crystal at the PBE level of DFT.

For the total DFT energy (no corrections), the calculation gives -55.611 eV/cell. Its space group is P-6m2 (187).

a = 3.561 Å, b = 3.561 Å, c = 15.502 Å
α = 90.00°, β = 90.00°, γ = 120.00°
Positions (direct):
Y (0.000, 0.000, 0.164)
Y (0.000, 0.000, 0.836)
Y (0.333, 0.667, 0.334)
Y (0.333, 0.667, 0.666)
Cd (0.333, 0.667, 0.000)
Bi (0.000, 0.000, 0.500)
N (0.667, 0.333, 0.253)
N (0.667, 0.333, 0.747)

***

[3]
Computed, not measured: a relaxed Zr4CdBiN2 crystal at the PBE level of DFT.

For the total DFT energy (no corrections), the calculation gives -63.247 eV/cell. Its space group is P-6m2 (187).

a = 3.378 Å, b = 3.378 Å, c = 14.537 Å
α = 90.00°, β = 90.00°, γ = 120.00°
Positions (direct):
Zr (0.000, 0.000, 0.166)
Zr (0.000, 0.000, 0.834)
Zr (0.333, 0.667, 0.331)
Zr (0.333, 0.667, 0.669)
Cd (0.000, 0.000, 0.500)
Bi (0.333, 0.667, 0.000)
N (0.667, 0.333, 0.252)
N (0.667, 0.333, 0.748)